1.
VASP calculation (PBE-GGA) on a relaxed NaGa3Au3 crystal.

a b c (Å): 4.617 8.488 8.494
angles (deg): 119.98 90.00 90.00
Element x y z (fractional)
Na  0.750  0.334  0.667
Na  0.250  0.666  0.333
Ga  0.750  0.747  0.017
Ga  0.750  0.271  0.254
Ga  0.750  0.983  0.729
Ga  0.250  0.253  0.983
Ga  0.250  0.729  0.746
Ga  0.250  0.017  0.271
Au  0.750  0.947  0.375
Au  0.750  0.428  0.053
Au  0.750  0.625  0.571
Au  0.250  0.053  0.625
Au  0.250  0.572  0.947
Au  0.250  0.375  0.429

Values from the calculation:
Energy of formation ... -0.192 eV/atom
E ... -3.08 eV per atom
ΔE to the lowest computed polymorph ... 1.155 kcal/mol of atoms

=====

2.
VASP calculation (PBE-GGA) on a relaxed Ce2Pu4Al3 crystal.

a b c (Å): 5.079 5.924 9.326
angles (deg): 121.79 90.00 115.38
Each line ends with the local moment (μB).
Element x y z (fractional)
Ce  0.595  0.190  0.249  0.92
Ce  0.405  0.810  0.751  0.92
Pu  0.767  0.534  0.097  5.52
Pu  0.233  0.466  0.903  5.52
Pu  0.899  0.797  0.568  5.46
Pu  0.101  0.203  0.432  5.46
Al  0.659  0.319  0.667  -0.05
Al  0.000  0.000  0.000  -0.04
Al  0.341  0.681  0.333  -0.05

Values from the calculation:
Energy of formation ... -0.136 eV/atom
E ... -9.07 eV per atom

=====

| no. | volume (Å³/cell) |
| --- | --- |
| 1 | 288.4 |
| 2 | 205.9 |